TiMnGe2, relaxed, DFT PBE; E_tot = -27.1 eV per cell; density of states at the Fermi level = 0.4265 states/eV per atom; symmetry = No. 166; E_form = -0.81 eV per formula unit
1.0
1.9878 1.1477 4.5933
-1.9878 1.1477 4.5933
0.0000 -2.2953 4.5933
Ti Mn Ge
1 1 2
direct
0.0000 0.0000 0.0000
0.5000 0.5000 0.5000
0.2388 0.2388 0.2388
0.7612 0.7612 0.7612